DFT (PBE) results for a relaxed structure of ZnCoMoAu.

```
ZnCoMoAu
1.0
0.0000 3.0784 3.0784
3.0784 0.0000 3.0784
3.0784 3.0784 0.0000
Zn Co Mo Au
1 1 1 1
direct
0.0000 0.0000 0.0000 Zn
0.7500 0.7500 0.7500 Co
0.2500 0.2500 0.2500 Mo
0.5000 0.5000 0.5000 Au
```

Crystal system = cubic
Density = 11.9 g cm⁻³
E = -5.273 eV per atom
Energy relative to the elements = 348 meV per atom
V = 14.59 Å³/atom


DFT (PBE) results for a relaxed structure of ZnCoMoAu.

```
ZnCoMoAu
1.0
0.0000 3.0489 3.0489
3.0489 0.0000 3.0489
3.0489 3.0489 0.0000
Zn Co Mo Au
1 1 1 1
direct
0.0000 0.0000 0.0000 Zn
0.5000 0.5000 0.5000 Co
0.2500 0.2500 0.2500 Mo
0.7500 0.7500 0.7500 Au
```

Crystal system = cubic
Density = 12.2 g cm⁻³
E = -5.446 eV per atom
Energy relative to the elements = 175 meV per atom
V = 14.17 Å³/atom


no.,magnetization (μB per cell),relative energy among the computed polymorphs (kJ per mole of atoms)
1,0.35,16.69
2,0.00,0.00